1.
Compound: Li2MgP
Source: Alexandria via LeMat-Bulk
Functional: PBE
Structure: optimized geometry Values from VASP.

```
&SYSTEM
  ibrav = 0, nat = 16, ntyp = 3
/
ATOMIC_SPECIES
Li 6.94 Li.upf
P 30.97 P.upf
Mg 24.30 Mg.upf
CELL_PARAMETERS angstrom
-3.620 -5.173 -0.374
2.238 -1.147 -5.804
4.679 -3.454 2.487
ATOMIC_POSITIONS crystal
Li 0.000 0.500 0.500
Li 0.500 0.000 0.500
Li 0.712 0.712 0.712
Li 0.288 0.288 0.712
P 0.734 0.734 0.266
P 0.266 0.266 0.266
Mg 0.500 0.000 0.000
Li 0.712 0.288 0.288
Mg 0.000 0.500 0.000
Li 0.288 0.712 0.288
Mg 0.000 0.000 0.000
P 0.266 0.734 0.734
Li 0.500 0.500 0.500
Mg 0.000 0.000 0.500
P 0.734 0.266 0.734
Li 0.500 0.500 0.000
```

Results
V = 253 Å³/cell
Fermi-level density of states = 1.73 states/eV/f.u.
VASP energy = -48.34 eV for the cell shown
Energy of formation from the pure elements = -1.3 eV/f.u.
Crystal system = cubic
Energy above the most stable polymorph in this dataset = 126 meV/atom

---

2.
Compound: Li2MgP
Source: Alexandria via LeMat-Bulk
Functional: PBE
Structure: optimized geometry Values from VASP.

```
&SYSTEM
  ibrav = 0, nat = 4, ntyp = 3
/
ATOMIC_SPECIES
Li 6.94 Li.upf
P 30.97 P.upf
Mg 24.30 Mg.upf
CELL_PARAMETERS angstrom
3.039 0.093 0.000
-0.102 3.038 0.000
0.000 0.000 7.516
ATOMIC_POSITIONS crystal
Li 0.000 0.000 0.941
P 0.500 0.500 0.750
Li 0.000 0.000 0.559
Mg 0.500 0.500 0.250
```

Results
V = 69 Å³/cell
Fermi-level density of states = 1.52 states/eV/f.u.
VASP energy = -11.66 eV for the cell shown
Energy of formation from the pure elements = -0.8 eV/f.u.
Crystal system = orthorhombic
Energy above the most stable polymorph in this dataset = 233 meV/atom

---

3.
Compound: Li2MgP
Source: Alexandria via LeMat-Bulk
Functional: PBE
Structure: optimized geometry Values from VASP.

```
&SYSTEM
  ibrav = 0, nat = 4, ntyp = 3
/
ATOMIC_SPECIES
Mg 24.30 Mg.upf
Li 6.94 Li.upf
P 30.97 P.upf
CELL_PARAMETERS angstrom
-2.421 1.270 3.317
-3.856 -0.772 1.735
1.765 -4.114 3.711
ATOMIC_POSITIONS crystal
Mg 0.487 0.487 0.529
Li 0.012 0.012 0.982
P 0.749 0.749 0.803
Li 0.251 0.251 0.187
```

Results
V = 69 Å³/cell
Fermi-level density of states = 0.94 states/eV/f.u.
VASP energy = -11.88 eV for the cell shown
Energy of formation from the pure elements = -1.0 eV/f.u.
Crystal system = monoclinic
Energy above the most stable polymorph in this dataset = 177 meV/atom

---

4.
Compound: LiMg3P
Source: Alexandria via LeMat-Bulk
Functional: PBE
Structure: optimized geometry Values from VASP.

```
&SYSTEM
  ibrav = 0, nat = 5, ntyp = 3
/
ATOMIC_SPECIES
Mg 24.30 Mg.upf
P 30.97 P.upf
Li 6.94 Li.upf
CELL_PARAMETERS angstrom
4.785 0.000 0.000
0.000 4.785 0.000
0.000 0.000 4.785
ATOMIC_POSITIONS crystal
Mg 0.000 0.500 0.000
P 0.500 0.500 0.500
Li 0.000 0.000 0.000
Mg 0.500 0.000 0.000
Mg 0.000 0.000 0.500
```

Results
V = 110 Å³/cell
Fermi-level density of states = 2.40 states/eV/f.u.
VASP energy = -9.49 eV for the cell shown
Energy of formation from the pure elements = 2.6 eV/f.u.
Crystal system = cubic
Energy above the most stable polymorph in this dataset = 517 meV/atom

---

5.
Compound: Li2MgP2Pd5
Source: Alexandria via LeMat-Bulk
Functional: PBE
Structure: optimized geometry Values from VASP.

```
&SYSTEM
  ibrav = 0, nat = 20, ntyp = 4
/
ATOMIC_SPECIES
Mg 24.30 Mg.upf
P 30.97 P.upf
Pd 106.42 Pd.upf
Li 6.94 Li.upf
CELL_PARAMETERS angstrom
-2.777 -1.954 -1.246
5.625 -4.065 -6.161
1.928 -6.668 6.160
ATOMIC_POSITIONS crystal
Mg 0.000 0.500 0.500
P 0.000 0.367 0.133
P 0.000 0.867 0.367
Pd 0.500 0.292 0.575
Li 0.000 0.669 0.169
Pd 0.500 0.208 0.075
Pd 0.500 0.425 0.292
Pd 0.500 0.000 0.500
Pd 0.500 0.925 0.208
Mg 0.000 0.000 0.000
Pd 0.500 0.708 0.425
Li 0.000 0.831 0.669
Pd 0.500 0.792 0.925
Pd 0.500 0.075 0.792
P 0.000 0.133 0.633
Li 0.000 0.331 0.831
Li 0.000 0.169 0.331
P 0.000 0.633 0.867
Pd 0.500 0.575 0.708
Pd 0.500 0.500 0.000
```

Results
V = 312 Å³/cell
Fermi-level density of states = 5.68 states/eV/f.u.
VASP energy = -95.26 eV for the cell shown
Energy of formation from the pure elements = -5.4 eV/f.u.
Crystal system = tetragonal

---

6.
Compound: Li2MgPPt
Source: Alexandria via LeMat-Bulk
Functional: PBE
Structure: optimized geometry Values from VASP.

```
&SYSTEM
  ibrav = 0, nat = 5, ntyp = 4
/
ATOMIC_SPECIES
P 30.97 P.upf
Mg 24.30 Mg.upf
Pt 195.08 Pt.upf
Li 6.94 Li.upf
CELL_PARAMETERS angstrom
4.566 0.000 0.000
0.000 4.991 0.000
0.000 0.000 4.566
ATOMIC_POSITIONS crystal
P 0.500 0.500 0.500
Mg 0.000 0.500 0.000
Pt 0.000 0.000 0.000
Li 0.000 0.000 0.500
Li 0.500 0.000 0.000
```

Results
V = 104 Å³/cell
Fermi-level density of states = 1.84 states/eV/f.u.
VASP energy = -16.54 eV for the cell shown
Energy of formation from the pure elements = 0.3 eV/f.u.
Crystal system = tetragonal

---

7.
Compound: Rb2LiMgP2
Source: Alexandria via LeMat-Bulk
Functional: PBE
Structure: optimized geometry Values from VASP.

```
&SYSTEM
  ibrav = 0, nat = 12, ntyp = 4
/
ATOMIC_SPECIES
P 30.97 P.upf
Rb 85.47 Rb.upf
Mg 24.30 Mg.upf
Li 6.94 Li.upf
CELL_PARAMETERS angstrom
6.452 0.000 0.000
0.000 6.453 0.000
-3.226 -3.226 7.821
ATOMIC_POSITIONS crystal
P 0.657 0.414 0.828
Rb 0.593 0.827 0.653
Mg 0.500 0.750 0.000
Rb 0.407 0.173 0.347
P 0.171 0.914 0.828
Rb 0.061 0.327 0.653
Rb 0.939 0.673 0.347
P 0.829 0.086 0.172
P 0.343 0.586 0.172
Mg 0.500 0.250 0.000
Li 0.000 0.750 0.000
Li 0.000 0.250 0.000
```

Results
V = 326 Å³/cell
Fermi-level density of states = 5.37 states/eV/f.u.
VASP energy = -37.79 eV for the cell shown
Energy of formation from the pure elements = -2.6 eV/f.u.
Crystal system = orthorhombic

---

8.
Compound: LiMgP2S
Source: Alexandria via LeMat-Bulk
Functional: PBE
Structure: optimized geometry Values from VASP.

```
&SYSTEM
  ibrav = 0, nat = 5, ntyp = 4
/
ATOMIC_SPECIES
Mg 24.30 Mg.upf
P 30.97 P.upf
S 32.06 S.upf
Li 6.94 Li.upf
CELL_PARAMETERS angstrom
4.277 0.000 0.000
0.000 4.277 0.000
0.000 0.000 4.847
ATOMIC_POSITIONS crystal
Mg 0.500 0.500 0.500
P 0.500 0.000 0.000
P 0.000 0.500 0.000
S 0.000 0.000 0.500
Li 0.000 0.000 0.000
```

Results
V = 89 Å³/cell
Fermi-level density of states = 3.55 states/eV/f.u.
VASP energy = -16.52 eV for the cell shown
Crystal system = tetragonal
Energy above the most stable polymorph in this dataset = 0 meV/atom

---

9.
Compound: LiMgP2S
Source: Alexandria via LeMat-Bulk
Functional: PBE
Structure: optimized geometry Values from VASP.

```
&SYSTEM
  ibrav = 0, nat = 5, ntyp = 4
/
ATOMIC_SPECIES
P 30.97 P.upf
S 32.06 S.upf
Mg 24.30 Mg.upf
Li 6.94 Li.upf
CELL_PARAMETERS angstrom
4.827 0.000 0.000
0.000 4.827 0.000
0.000 0.000 4.902
ATOMIC_POSITIONS crystal
P 0.000 0.500 0.000
S 0.000 0.000 0.500
Mg 0.000 0.000 0.000
P 0.500 0.000 0.000
Li 0.500 0.500 0.500
```

Results
V = 114 Å³/cell
Fermi-level density of states = 4.15 states/eV/f.u.
VASP energy = -16.34 eV for the cell shown
Crystal system = tetragonal
Energy above the most stable polymorph in this dataset = 36 meV/atom

---

10.
Compound: LiMgP2Se6
Source: Alexandria via LeMat-Bulk
Functional: PBE
Structure: optimized geometry Values from VASP.

```
&SYSTEM
  ibrav = 0, nat = 20, ntyp = 4
/
ATOMIC_SPECIES
Mg 24.30 Mg.upf
P 30.97 P.upf
Li 6.94 Li.upf
Se 78.96 Se.upf
CELL_PARAMETERS angstrom
7.595 0.019 0.020
2.481 8.147 0.457
2.481 0.155 8.159
ATOMIC_POSITIONS crystal
Mg 0.750 0.110 0.890
P 0.268 0.804 0.611
Li 0.750 0.714 0.286
Se 0.659 0.055 0.628
Mg 0.250 0.890 0.110
P 0.232 0.389 0.196
Se 0.562 0.624 0.639
P 0.732 0.196 0.389
Li 0.250 0.286 0.714
Se 0.341 0.945 0.372
Se 0.644 0.806 0.985
Se 0.144 0.985 0.806
Se 0.438 0.376 0.361
Se 0.856 0.015 0.194
Se 0.356 0.194 0.015
Se 0.159 0.628 0.055
P 0.768 0.611 0.804
Se 0.938 0.361 0.376
Se 0.062 0.639 0.624
Se 0.841 0.372 0.945
```

Results
V = 504 Å³/cell
Fermi-level density of states = 1.22 states/eV/f.u.
VASP energy = -78.05 eV for the cell shown
Crystal system = monoclinic

---

11.
Compound: Sr2LiMgP
Source: Alexandria via LeMat-Bulk
Functional: PBE
Structure: optimized geometry Values from VASP.

```
&SYSTEM
  ibrav = 0, nat = 5, ntyp = 4
/
ATOMIC_SPECIES
P 30.97 P.upf
Sr 87.62 Sr.upf
Li 6.94 Li.upf
Mg 24.30 Mg.upf
CELL_PARAMETERS angstrom
-5.608 -0.118 -2.001
1.208 -4.944 -3.093
-1.295 -2.686 3.788
ATOMIC_POSITIONS crystal
P 0.000 0.000 0.000
Sr 0.500 0.000 0.000
Li 0.000 0.000 0.500
Mg 0.500 0.500 0.500
Sr 0.000 0.500 0.000
```

Results
V = 171 Å³/cell
Fermi-level density of states = 3.99 states/eV/f.u.
VASP energy = -14.28 eV for the cell shown
Energy of formation from the pure elements = -2.0 eV/f.u.
Crystal system = tetragonal

---

12.
Compound: Li2MgTlP
Source: Alexandria via LeMat-Bulk
Functional: PBE
Structure: optimized geometry Values from VASP.

```
&SYSTEM
  ibrav = 0, nat = 5, ntyp = 4
/
ATOMIC_SPECIES
Li 6.94 Li.upf
P 30.97 P.upf
Tl 204.38 Tl.upf
Mg 24.30 Mg.upf
CELL_PARAMETERS angstrom
-2.580 2.062 3.405
0.772 -3.721 2.839
4.094 2.200 1.770
ATOMIC_POSITIONS crystal
Li 0.500 0.000 0.000
P 0.000 0.000 0.000
Tl 0.500 0.500 0.500
Mg 0.000 0.000 0.500
Li 0.000 0.500 0.000
```

Results
V = 112 Å³/cell
Fermi-level density of states = 2.59 states/eV/f.u.
VASP energy = -14.58 eV for the cell shown
Energy of formation from the pure elements = -1.4 eV/f.u.
Crystal system = tetragonal